This record from OQMD via LeMat-Bulk describes a geometry-optimized LiCoSO structure. The functional is GGA+U.

Properties
total magnetic moment	4.41	μB per cell
E above lowest polymorph	352	meV per atom

Cell and atoms, written as CIF:
```
data_LiCoSO
_chemical_formula_sum 'Li2 Co2 S2 O2'
_cell_length_a 3.557
_cell_length_b 3.557
_cell_length_c 8.300
_cell_angle_alpha 90.00
_cell_angle_beta 90.00
_cell_angle_gamma 90.00
_symmetry_space_group_name_H-M 'P 4/n m m'
_symmetry_Int_Tables_number 129
loop_
_symmetry_equiv_pos_as_xyz
'x,y,z'
'-x,-y,-z'
'-y+1/2,x,z'
'y+1/2,-x,-z'
'-x+1/2,-y+1/2,z'
'x+1/2,y+1/2,-z'
'y,-x+1/2,z'
'-y,x+1/2,-z'
'x+1/2,-y,-z'
'-x+1/2,y,z'
'-y,-x,-z'
'y,x,z'
'-x,y+1/2,-z'
'x,-y+1/2,z'
'y+1/2,x+1/2,-z'
'-y+1/2,-x+1/2,z'
loop_
_atom_site_label
_atom_site_type_symbol
_atom_site_fract_x
_atom_site_fract_y
_atom_site_fract_z
_atom_site_occupancy
Li1 Li 0.250 0.750 0.000 1
Co1 Co 0.250 0.250 0.393 1
S1 S 0.250 0.250 0.813 1
O1 O 0.250 0.750 0.500 1
```